No. 1
MgAsPdO (PBE-GGA, optimized geometry); space group = P4/nmm
1.0
4.028 0.000 0.000
0.000 4.028 0.000
0.000 0.000 8.709
Mg As Pd O
2 2 2 2
Direct
0.250 0.250 0.011
0.750 0.750 0.989
0.250 0.250 0.665
0.750 0.750 0.335
0.250 0.750 0.500
0.750 0.250 0.500
0.250 0.750 0.000
0.750 0.250 0.000

No. 2
MgAsPdO (PBE-GGA, optimized geometry); space group = Pmc2_1
1.0
4.303 0.000 0.000
0.000 5.758 0.000
0.000 0.000 5.122
Mg As Pd O
2 2 2 2
Direct
0.000 0.192 0.000
0.000 0.808 0.500
0.500 0.413 0.819
0.500 0.587 0.319
0.500 0.146 0.409
0.500 0.854 0.909
0.000 0.127 0.371
0.000 0.873 0.871

No. 3
MgAsPdO (PBE-GGA, optimized geometry); space group = P4/nmm
1.0
4.039 0.000 0.000
0.000 4.039 0.000
0.000 0.000 8.075
Mg As Pd O
2 2 2 2
Direct
0.250 0.750 0.000
0.750 0.250 0.000
0.250 0.250 0.221
0.750 0.750 0.779
0.250 0.250 0.596
0.750 0.750 0.404
0.250 0.750 0.500
0.750 0.250 0.500

No. 4
PmMgAsO (PBE-GGA, optimized geometry); space group = P4/nmm; M_tot = 0.0 μB per cell
1.0
4.132 0.000 0.000
0.000 4.132 0.000
0.000 0.000 9.084
Pm Mg As O
2 2 2 2
Direct
0.250 0.250 0.122
0.750 0.750 0.878
0.250 0.750 0.500
0.750 0.250 0.500
0.250 0.250 0.683
0.750 0.750 0.317
0.250 0.750 0.000
0.750 0.250 0.000

No. 5
PmMgAsO (PBE-GGA, optimized geometry); space group = Pmc2_1; M_tot = 0.0 μB per cell
1.0
4.344 0.000 0.000
0.000 4.444 0.000
0.000 0.000 7.318
Pm Mg As O
2 2 2 2
Direct
0.000 0.218 0.000
0.000 0.782 0.500
0.500 0.287 0.341
0.500 0.713 0.841
0.500 0.214 0.681
0.500 0.786 0.181
0.000 0.282 0.337
0.000 0.718 0.837

No. 6
PmMgAsO (PBE-GGA, optimized geometry); space group = P4/nmm; M_tot = 0.0 μB per cell
1.0
4.362 0.000 0.000
0.000 4.362 0.000
0.000 0.000 9.745
Pm Mg As O
2 2 2 2
Direct
0.250 0.750 0.000
0.750 0.250 0.000
0.250 0.250 0.499
0.750 0.750 0.501
0.250 0.250 0.189
0.750 0.750 0.811
0.250 0.750 0.500
0.750 0.250 0.500

No. 7
PmMgAsO (PBE-GGA, optimized geometry); space group = Pmc2_1; M_tot = 0.0 μB per cell
1.0
4.543 0.000 0.000
0.000 6.243 0.000
0.000 0.000 5.992
Pm Mg As O
2 2 2 2
Direct
0.000 0.235 0.000
0.000 0.765 0.500
0.500 0.387 0.629
0.500 0.613 0.129
0.000 0.237 0.495
0.000 0.763 0.995
0.500 0.336 0.961
0.500 0.664 0.461

No. 8
PrMgAsO (PBE-GGA, optimized geometry); space group = Pmc2_1; M_tot = 0.0 μB per cell
1.0
4.367 0.000 0.000
0.000 4.403 0.000
0.000 0.000 7.523
Pr Mg As O
2 2 2 2
Direct
0.000 0.247 0.000
0.000 0.753 0.500
0.500 0.253 0.335
0.500 0.747 0.835
0.500 0.247 0.671
0.500 0.753 0.171
0.000 0.253 0.334
0.000 0.747 0.834

no.,E (eV per atom)
1,-5.29
2,-4.81
3,-4.05
4,-5.93
5,-5.76
6,-5.03
7,-5.89
8,-5.77